This record from the Alexandria database describes a relaxed AcDy4Th crystal. The functional is PBE.

Computed properties:
For the formation energy, the calculation gives 0.0631 eV per atom. The space group is No. 2. The calculation puts the total energy at -29.6 eV/cell.

extended XYZ file:
```
6
Lattice="3.652 0.000 0.000 0.009 7.382 0.000 1.810 1.855 7.481" Properties=species:S:1:pos:R:3 pbc="T T T"
Ac 0.000 0.000 0.000
Dy 1.826 1.934 2.515
Dy 1.828 5.456 2.483
Dy 3.643 3.781 4.998
Dy 3.645 7.302 4.966
Th 0.004 3.691 0.000
```